Entry 1:
A plane-wave DFT calculation with PBE was carried out for an optimized crystal structure of AsOs2Pt2.

Unit cell a=7.8322 b=7.8322 c=2.7199 alpha=90.00 beta=90.00 gamma=90.00
Fractional positions:
1 As 0.0000 0.0000 0.0000
2 As 0.5000 0.5000 0.0000
3 Os 0.1148 0.6148 0.5000
4 Os 0.6148 0.8852 0.5000
5 Os 0.8852 0.3852 0.5000
6 Os 0.3852 0.1148 0.5000
7 Pt 0.3182 0.8182 0.0000
8 Pt 0.8182 0.6818 0.0000
9 Pt 0.6818 0.1818 0.0000
10 Pt 0.1818 0.3182 0.0000

DFT formation energy, kJ/mol of atoms: 48.2
E above lowest polymorph, meV per atom: 0



Entry 2:
A plane-wave DFT calculation with PBE was carried out for an optimized crystal structure of AsOs2Pt.

Unit cell a=5.4173 b=5.4173 c=5.4173 alpha=149.00 beta=131.81 gamma=58.41
Fractional positions:
1 As 0.2500 0.7500 0.5000
2 Os 0.0395 0.0395 0.0000
3 Os 0.4605 0.4605 0.0000
4 Pt 0.7500 0.2500 0.5000

DFT formation energy, kJ/mol of atoms: 34.6



Entry 3:
A plane-wave DFT calculation with PBE was carried out for an optimized crystal structure of AsOs2Pt.

Unit cell a=2.8202 b=3.8430 c=5.7091 alpha=90.00 beta=90.00 gamma=90.00
Fractional positions:
1 As 0.5000 0.5000 0.7676
2 Os 0.0000 0.0000 0.0210
3 Os 0.5000 0.5000 0.2208
4 Pt 0.0000 0.0000 0.4905

DFT formation energy, kJ/mol of atoms: 30.4



Entry 4:
A plane-wave DFT calculation with PBE was carried out for an optimized crystal structure of AsOsPt2.

Unit cell a=5.1972 b=5.1972 c=7.4386 alpha=69.55 beta=69.55 gamma=90.00
Fractional positions:
1 As 0.5000 0.5000 0.0000
2 As 0.2500 0.7500 0.5000
3 Os 0.0000 0.0000 0.0000
4 Os 0.7500 0.2500 0.5000
5 Pt 0.6245 0.1250 0.2500
6 Pt 0.1255 0.6250 0.2500
7 Pt 0.3750 0.3755 0.7500
8 Pt 0.8750 0.8745 0.7500

DFT formation energy, kJ/mol of atoms: 63.3



Entry 5:
A plane-wave DFT calculation with PBE was carried out for an optimized crystal structure of AsOsPt2.

Unit cell a=2.8254 b=2.8254 c=7.9828 alpha=90.00 beta=90.00 gamma=90.00
Fractional positions:
1 As 0.5000 0.5000 0.2500
2 Os 0.5000 0.5000 0.7500
3 Pt 0.0000 0.0000 0.9846
4 Pt 0.0000 0.0000 0.5154

DFT formation energy, kJ/mol of atoms: 19.1



Entry 6:
A plane-wave DFT calculation with PBE was carried out for an optimized crystal structure of AsOsPt2.

Unit cell a=8.7390 b=8.7390 c=8.7390 alpha=19.04 beta=19.04 gamma=19.04
Fractional positions:
1 As 0.4957 0.4957 0.4957
2 Os 0.7562 0.7562 0.7562
3 Pt 0.0026 0.0026 0.0026
4 Pt 0.2454 0.2454 0.2454

DFT formation energy, kJ/mol of atoms: 13.8